1.
Entry from the Alexandria database: crystalline Na2CuAgAs at its relaxed geometry (GGA-PBE).

Properties
- crystal system = tetragonal

a = 5.5453 Å, b = 5.5453 Å, c = 4.8652 Å
α = 90.00°, β = 90.00°, γ = 90.00°
With the nearest neighbours (Å) after each atom.
Space group P4/mmm (No. 123)
Symmetry-distinct sites (fractional):
Na1 0.0000 0.5000 0.0000  2 As 2.77
Cu1 0.0000 0.0000 0.5000  8 Na 3.69, 4 Ag 3.92
Ag1 0.5000 0.5000 0.5000  2 As 2.43
As1 0.5000 0.5000 0.0000  2 Ag 2.43



2.
Entry from the Alexandria database: crystalline Pm2ZnPt6 at its relaxed geometry (GGA-PBE).

Properties
- crystal system = trigonal

a = 5.6802 Å, b = 5.6802 Å, c = 6.0566 Å
α = 90.00°, β = 90.00°, γ = 120.00°
With the nearest neighbours (Å) after each atom.
Space group P-3m1 (No. 164)
Symmetry-distinct sites (fractional):
Pm1 0.3333 0.6667 0.1544  9 Pt 3.00-3.25
Zn1 0.0000 0.0000 0.0000  6 Pt 2.55
Pt1 0.1728 0.3456 0.6861  1 Zn 2.55, 4 Pt 2.74-2.82



Asked for calculated total energy across the records above, the calculation gives -2.50 -6.10 eV/atom in order.
Asked for formation energy from the elements across the records above, the calculation gives 166 -763 kJ/mol of formula units in order.